First-principles (PBE-GGA) data for a geometry-optimized Ce2Cu3NiGe4 structure, as listed in Alexandria via LeMat-Bulk.

a b c (Å): 4.2118 4.2118 9.8060
angles (deg): 90.00 90.00 90.00
Atoms (fractional coordinates):
Ce (0.0000, 0.5000, 0.2422)
Ce (0.5000, 0.0000, 0.7578)
Cu (0.0000, 0.0000, 0.0000)
Cu (0.0000, 0.5000, 0.6313)
Cu (0.5000, 0.0000, 0.3687)
Ni (0.5000, 0.5000, 0.0000)
Ge (0.0000, 0.0000, 0.5000)
Ge (0.0000, 0.5000, 0.8746)
Ge (0.5000, 0.0000, 0.1254)
Ge (0.5000, 0.5000, 0.5000)

Summary:
V	17.40	Å³/atom
DFT formation energy	-0.52	eV per atom